The following is a PBE calculation of a relaxed PmNp3Tl4Se8 crystal, from Alexandria via LeMat-Bulk. Values from VASP.

Values from the calculation:
* total moment: 12.000 μB per formula unit
* V: 483.9 Å³/f.u.
* energy relative to the elements, uncorrected: -1.019 eV/atom
* calculated total energy: -6.076 eV per atom

```
&SYSTEM
  ibrav = 0, nat = 16, ntyp = 4
/
ATOMIC_SPECIES
Np 237.00 Np.upf
Se 78.96 Se.upf
Tl 204.38 Tl.upf
Pm 145.00 Pm.upf
ATOMIC_POSITIONS angstrom
Np 2.123 2.457 3.236
Se 2.096 2.356 6.147
Np 4.246 4.580 0.233
Tl -2.123 -2.123 3.003
Se 4.246 4.437 3.134
Se 0.000 4.452 3.182
Se 2.150 2.559 0.324
Pm 0.000 4.580 0.233
Np -2.123 2.457 3.236
Se 6.342 2.559 0.324
Tl 0.000 0.000 0.000
Tl 4.246 0.000 0.000
Se 4.246 0.463 3.289
Tl 2.123 -2.123 3.003
Se -2.096 2.356 6.147
Se 0.000 0.477 3.337
CELL_PARAMETERS angstrom
8.492 0.000 0.000
0.000 9.159 0.465
-4.246 -4.245 6.006
```